La2Y7Th2 (PBE-GGA, relaxed); total energy = -67.33 eV for the cell shown; polymorph energy (0 for the lowest one) = 50 meV per atom
1.0
5.100 -5.683 0.000
5.100 5.683 0.000
-2.601 0.000 6.511
La Y Th
2 7 2
Direct
0.170 0.830 0.000
0.830 0.170 0.000
0.000 0.000 0.500
0.075 0.579 0.315
0.316 0.316 0.017
0.421 0.925 0.685
0.579 0.075 0.315
0.684 0.684 0.983
0.925 0.421 0.685
0.369 0.369 0.570
0.631 0.631 0.430

=====

Y6Co2Cu (PBE-GGA, relaxed); total energy = -116.98 eV for the cell shown
1.0
-4.662 4.763 4.893
4.662 -4.763 4.893
4.662 4.763 -4.893
Y Co Cu
12 4 2
Direct
0.049 0.239 0.810
0.178 0.276 0.453
0.178 0.724 0.902
0.326 0.012 0.686
0.326 0.640 0.314
0.430 0.239 0.190
0.570 0.761 0.810
0.674 0.360 0.686
0.674 0.988 0.314
0.822 0.276 0.098
0.822 0.724 0.547
0.951 0.761 0.190
0.114 0.614 0.500
0.336 0.000 0.336
0.664 0.000 0.664
0.886 0.386 0.500
0.000 0.000 0.000
0.500 0.500 0.000

=====

KTcAu3 (PBE-GGA, relaxed); total energy = -12.21 eV for the cell shown; polymorph energy (0 for the lowest one) = 1305 meV per atom
1.0
5.426 0.000 0.000
0.000 5.426 0.000
0.000 0.000 5.426
K Tc Au
1 1 3
Direct
0.000 0.000 0.000
0.500 0.500 0.500
0.000 0.000 0.500
0.000 0.500 0.000
0.500 0.000 0.000

=====

no.,total moment (μB/cell),energy of formation from the pure elements (meV/atom),calculated density (Mg/m³)
1,0.00,238,6.00
2,0.00,-156,5.46
3,4.81,1817,7.57